Record 1
DFT (PBE) results for crystalline ScTl3Zn at its relaxed geometry.

Lattice parameters (Å, degrees): 5.2494 5.2494 5.2494 90.00 90.00 90.00
With the nearest neighbours (Å) after each atom.
Fractional positions:
Sc (0.5000, 0.5000, 0.5000)  12 Tl 3.71
Tl (0.0000, 0.5000, 0.0000)  2 Zn 2.62
Tl (0.0000, 0.0000, 0.5000)  2 Zn 2.62
Tl (0.5000, 0.0000, 0.0000)  2 Zn 2.62
Zn (0.0000, 0.0000, 0.0000)  6 Tl 2.62

Record 2
DFT (PBE) results for crystalline La3Dy7Tm at its relaxed geometry.

Lattice parameters (Å, degrees): 6.7411 8.6547 6.5603 81.69 95.35 80.10
With the nearest neighbours (Å) after each atom.
Fractional positions:
La (0.0608, 0.8324, 0.1940)  6 Dy 3.37-3.70, 2 La 3.50-3.76
La (0.5000, 0.0000, 0.0000)  8 Dy 3.44-3.79, 4 La 3.76-3.83
La (0.9392, 0.1676, 0.8060)  6 Dy 3.37-3.70, 2 La 3.50-3.76
Dy (0.7743, 0.2120, 0.2858)  1 Tm 3.39, 6 Dy 3.41-3.73, 4 La 3.43-3.67
Dy (0.7080, 0.8522, 0.5640)  6 Dy 3.37-3.59, 2 La 3.55-3.60, 1 Tm 3.63
Dy (0.2706, 0.4228, 0.0111)  6 Dy 3.37-3.73, 1 Tm 3.63, 2 La 3.70-3.73
Dy (0.7294, 0.5772, 0.9889)  6 Dy 3.37-3.73, 1 Tm 3.63, 2 La 3.70-3.73
Dy (0.0000, 0.5000, 0.5000)  2 Tm 3.37, 2 La 3.37, 6 Dy 3.44-3.58
Dy (0.2920, 0.1478, 0.4360)  6 Dy 3.37-3.59, 2 La 3.55-3.60, 1 Tm 3.63
Dy (0.2257, 0.7880, 0.7142)  1 Tm 3.39, 6 Dy 3.41-3.73, 4 La 3.43-3.67
Tm (0.5000, 0.5000, 0.5000)  8 Dy 3.37-3.63

| no. | formation energy from the elements (meV per atom) | distance to the lowest polymorph of the same formula (eV/atom) |
| --- | --- | --- |
| 1 | 389 | 0.000 |
| 2 | 121 | 0.000 |